Here is an optimized crystal structure of Li2Ac2VO6 from the Alexandria database. Energies are from GGA+U.

Lattice parameters (Å, degrees): 5.6860 5.6860 5.9071 61.23 61.23 60.00
Site moments in Bohr magnetons follow the coordinates.
Positions (direct):
Li1 0.5687 0.5687 0.2939  0.00
Li2 0.4313 0.4313 0.7061  0.00
O1 0.7726 0.2378 0.7518  -0.02
O2 0.2274 0.7622 0.2482  -0.02
O3 0.2378 0.2378 0.7518  -0.02
O4 0.7622 0.7622 0.2482  -0.02
O5 0.2378 0.7726 0.7518  -0.02
O6 0.7622 0.2274 0.2482  -0.02
V1 0.0000 0.0000 0.0000  1.06
Ac1 0.7710 0.7710 0.6870  0.01
Ac2 0.2290 0.2290 0.3130  0.01

## Properties
Volume in Å³ per atom: 12.50
Uncorrected energy in eV per atom: -6.9550